1.
An optimized crystal structure of Sr2Be2VO6, computed with GGA+U.

Calculated values
Calculated volume in Å³/atom: 11.659
Space group: R-3m, No. 166
Size of the total moment in μB/atom: 0.091
E in eV/atom: -6.93
ρ in Mg/m³: 4.40

Unit cell a=6.005 b=6.005 c=6.005 alpha=53.07 beta=53.07 gamma=53.07
Fractional positions:
Sr 0.221 0.221 0.221
Sr 0.779 0.779 0.779
Be 0.413 0.413 0.413
Be 0.587 0.587 0.587
V 0.000 0.000 0.000
O 0.245 0.245 0.741
O 0.245 0.741 0.245
O 0.259 0.755 0.755
O 0.741 0.245 0.245
O 0.755 0.259 0.755
O 0.755 0.755 0.259



2.
An optimized crystal structure of Sr2BeVO5, computed with GGA+U.

Calculated values
Calculated volume in Å³/atom: 12.628
Space group: Cmc2_1, No. 36
Size of the total moment in μB/atom: 0.111
E in eV/atom: -6.90
ρ in Mg/m³: 4.61

Unit cell a=7.072 b=7.072 c=10.324 alpha=90.00 beta=90.00 gamma=153.88
Fractional positions:
Sr 0.112 0.888 0.500
Sr 0.129 0.871 0.133
Sr 0.871 0.129 0.633
Sr 0.888 0.112 0.000
Be 0.436 0.564 0.240
Be 0.564 0.436 0.740
V 0.201 0.799 0.836
V 0.799 0.201 0.336
O 0.060 0.940 0.820
O 0.298 0.702 0.459
O 0.315 0.685 0.205
O 0.333 0.667 0.821
O 0.495 0.505 0.112
O 0.505 0.495 0.612
O 0.667 0.333 0.321
O 0.685 0.315 0.705
O 0.702 0.298 0.959
O 0.940 0.060 0.320



3.
An optimized crystal structure of Sr3Be2VO6, computed with GGA+U.

Calculated values
Calculated volume in Å³/atom: 14.325
Space group: P-3m1, No. 164
Size of the total moment in μB/atom: 0.249
E in eV/atom: -6.60
ρ in Mg/m³: 4.13

Unit cell a=5.544 b=5.544 c=6.457 alpha=90.00 beta=90.00 gamma=120.00
Fractional positions:
Sr 0.000 0.000 0.000
Sr 0.333 0.667 0.668
Sr 0.667 0.333 0.332
Be 0.333 0.667 0.257
Be 0.667 0.333 0.743
V 0.000 0.000 0.500
O 0.175 0.350 0.287
O 0.175 0.825 0.287
O 0.350 0.175 0.713
O 0.650 0.825 0.287
O 0.825 0.175 0.713
O 0.825 0.650 0.713



4.
An optimized crystal structure of SrBe4V3O12, computed with GGA+U.

Calculated values
Calculated volume in Å³/atom: 10.476
Space group: R32, No. 155
Size of the total moment in μB/atom: 0.050
E in eV/atom: -7.17
ρ in Mg/m³: 3.71

Unit cell a=6.256 b=6.256 c=6.256 alpha=105.94 beta=105.94 gamma=105.94
Fractional positions:
Sr 0.000 0.000 0.000
Be 0.059 0.500 0.941
Be 0.500 0.500 0.500
Be 0.500 0.941 0.059
Be 0.941 0.059 0.500
V 0.000 0.554 0.446
V 0.446 0.000 0.554
V 0.554 0.446 0.000
O 0.028 0.620 0.755
O 0.095 0.905 0.500
O 0.245 0.380 0.972
O 0.343 0.657 0.500
O 0.380 0.972 0.245
O 0.500 0.095 0.905
O 0.500 0.343 0.657
O 0.620 0.755 0.028
O 0.657 0.500 0.343
O 0.755 0.028 0.620
O 0.905 0.500 0.095
O 0.972 0.245 0.380